A plane-wave DFT calculation with PBE-GGA was carried out for a relaxed HfVSbW2 crystal.

Calculated values
E_form (uncorrected) = 1.26 eV per atom

a b c (Å): 4.648 4.780 4.648
angles (deg): 90.00 90.00 90.00
Fractional positions:
Sb 0.000 0.500 0.000
Hf 0.500 0.500 0.500
W 0.000 0.000 0.500
W 0.500 0.000 0.000
V 0.000 0.000 0.000